No. 1
Ac3CdIn (PBE, optimized geometry); formation energy = -0.149 eV/atom; VASP energy = -33.45 eV per cell; Fermi-level density of states = 5.887 states/eV/f.u.; energy above the most stable polymorph in this dataset = 0.64 eV per formula unit
1.0
-1.484 2.335 -4.422
1.838 -6.399 -3.995
-9.142 -3.416 1.264
Ac In Cd
6 2 2
direct
0.750 0.508 0.694 Ac
0.750 0.750 0.059 Ac
0.250 0.492 0.306 Ac
0.250 0.250 0.941 Ac
0.750 0.992 0.694 Ac
0.250 0.008 0.306 Ac
0.250 0.750 0.839 In
0.750 0.250 0.161 In
0.750 0.750 0.407 Cd
0.250 0.250 0.593 Cd

***

No. 2
AcCdIn (PBE, optimized geometry); formation energy = -0.408 eV/atom; VASP energy = -26.96 eV per cell; Fermi-level density of states = 2.886 states/eV/f.u.; energy above the most stable polymorph in this dataset = 0.08 eV per formula unit
1.0
8.877 0.000 0.000
4.438 7.687 0.000
4.438 2.562 4.039
Ac Cd In
3 3 3
direct
0.903 0.239 0.284 Ac
0.239 0.574 0.284 Ac
0.574 0.903 0.284 Ac
0.740 0.740 0.781 Cd
0.080 0.080 0.760 Cd
0.397 0.397 0.810 Cd
0.739 0.405 0.784 In
0.072 0.739 0.784 In
0.405 0.072 0.784 In

***

No. 3
Ac6CdIn3 (PBE, optimized geometry); formation energy = -0.282 eV/atom; VASP energy = -73.20 eV per cell; Fermi-level density of states = 10.117 states/eV/f.u.; energy above the most stable polymorph in this dataset = 0.00 eV per formula unit
1.0
5.805 0.000 0.000
0.000 9.705 -3.206
0.000 0.102 12.849
In Ac Cd
6 12 2
direct
0.250 0.534 0.381 In
0.750 0.624 0.217 In
0.750 0.466 0.619 In
0.250 0.376 0.783 In
0.750 0.225 0.029 In
0.250 0.775 0.971 In
0.750 0.157 0.687 Ac
0.750 0.899 0.124 Ac
0.250 0.130 0.154 Ac
0.750 0.345 0.324 Ac
0.250 0.254 0.502 Ac
0.250 0.101 0.876 Ac
0.750 0.531 0.910 Ac
0.250 0.843 0.313 Ac
0.750 0.870 0.846 Ac
0.750 0.746 0.498 Ac
0.250 0.655 0.676 Ac
0.250 0.469 0.090 Ac
0.250 0.956 0.599 Cd
0.750 0.044 0.401 Cd

***

No. 4
Ac2Cd5In (PBE, optimized geometry); formation energy = -0.325 eV/atom; VASP energy = -36.26 eV per cell; Fermi-level density of states = 6.772 states/eV/f.u.; energy above the most stable polymorph in this dataset = 0.00 eV per formula unit
1.0
-0.511 -2.649 -4.193
-0.786 -6.270 7.021
-9.954 1.526 0.248
Cd Ac In
10 4 2
direct
0.813 0.626 0.106 Cd
0.650 0.300 0.023 Cd
0.650 0.300 0.477 Cd
0.600 0.199 0.750 Cd
0.350 0.700 0.523 Cd
0.187 0.374 0.606 Cd
0.400 0.801 0.250 Cd
0.813 0.626 0.394 Cd
0.187 0.374 0.894 Cd
0.350 0.700 0.977 Cd
0.000 0.000 0.000 Ac
0.000 0.000 0.500 Ac
0.202 0.405 0.250 Ac
0.798 0.595 0.750 Ac
0.555 0.110 0.250 In
0.445 0.890 0.750 In

***

No. 5
AcCdIn4 (PBE, optimized geometry); formation energy = -0.220 eV/atom; VASP energy = -17.30 eV per cell; Fermi-level density of states = 2.900 states/eV/f.u.; energy above the most stable polymorph in this dataset = 0.00 eV per formula unit
1.0
4.606 0.000 -1.562
0.000 4.978 0.000
-0.036 0.000 7.466
In Ac Cd
4 1 1
direct
0.673 0.000 0.346 In
0.820 0.500 0.640 In
0.327 0.000 0.654 In
0.180 0.500 0.360 In
0.500 0.500 0.000 Ac
0.000 0.000 0.000 Cd

***

No. 6
Ac2Cd6In (PBE, optimized geometry); formation energy = -0.287 eV/atom; VASP energy = -19.03 eV per cell; Fermi-level density of states = 6.692 states/eV/f.u.
1.0
-1.851 6.032 -1.446
-6.018 -1.254 2.470
4.760 2.406 3.934
In Cd Ac
1 6 2
direct
0.000 0.000 0.000 In
0.663 0.641 0.820 Cd
0.337 0.359 0.180 Cd
0.337 0.820 0.180 Cd
0.337 0.820 0.640 Cd
0.663 0.180 0.820 Cd
0.663 0.180 0.360 Cd
0.844 0.667 0.333 Ac
0.156 0.333 0.667 Ac

***

No. 7
Ac2Cd7In (PBE, optimized geometry); formation energy = -0.274 eV/atom; VASP energy = -20.10 eV per cell; Fermi-level density of states = 6.520 states/eV/f.u.
1.0
4.747 0.000 0.000
0.000 4.747 0.000
0.000 0.000 12.181
Cd In Ac
7 1 2
direct
0.500 0.000 0.137 Cd
0.000 0.500 0.863 Cd
0.000 0.000 0.000 Cd
0.500 0.500 0.500 Cd
0.500 0.000 0.365 Cd
0.000 0.000 0.500 Cd
0.000 0.500 0.635 Cd
0.500 0.500 0.000 In
0.000 0.500 0.250 Ac
0.500 0.000 0.750 Ac

***

No. 8
Ac6CdIn2 (PBE, optimized geometry); formation energy = -0.213 eV/atom; VASP energy = -32.96 eV per cell; Fermi-level density of states = 7.789 states/eV/f.u.; energy above the most stable polymorph in this dataset = 0.00 eV per formula unit
1.0
5.960 0.000 0.000
-2.980 5.106 -0.784
0.000 1.674 10.958
Ac Cd In
6 1 2
direct
0.334 0.667 0.602 Ac
0.000 0.000 0.811 Ac
0.667 0.333 0.032 Ac
0.666 0.333 0.398 Ac
0.333 0.667 0.968 Ac
0.000 0.000 0.189 Ac
0.000 0.000 0.500 Cd
0.667 0.334 0.717 In
0.333 0.666 0.283 In

***

No. 9
Ac3CdIn (PBE, optimized geometry); formation energy = -0.277 eV/atom; VASP energy = -34.73 eV per cell; Fermi-level density of states = 6.608 states/eV/f.u.; energy above the most stable polymorph in this dataset = 0.00 eV per formula unit
1.0
-5.583 0.867 -1.377
-1.608 -2.210 5.130
-2.342 10.286 3.696
In Cd Ac
2 2 6
direct
0.979 0.250 0.691 In
0.669 0.750 0.309 In
0.170 0.250 0.308 Cd
0.478 0.750 0.692 Cd
0.390 0.250 0.869 Ac
0.576 0.250 0.497 Ac
0.763 0.250 0.123 Ac
0.886 0.750 0.877 Ac
0.073 0.750 0.503 Ac
0.259 0.750 0.131 Ac

***

No. 10
Ac2CdIn8 (PBE, optimized geometry); formation energy = -0.275 eV/atom; VASP energy = -34.07 eV per cell; Fermi-level density of states = 2.737 states/eV/f.u.
1.0
5.044 0.000 0.000
0.000 5.044 0.000
0.000 0.000 12.649
In Ac Cd
8 2 1
direct
0.500 0.000 0.872 In
0.500 0.500 0.306 In
0.000 0.500 0.500 In
0.500 0.000 0.128 In
0.000 0.500 0.872 In
0.000 0.500 0.128 In
0.500 0.500 0.694 In
0.500 0.000 0.500 In
0.000 0.000 0.309 Ac
0.000 0.000 0.691 Ac
0.000 0.000 0.000 Cd

***

No. 11
Ac2Cd3In2 (PBE, optimized geometry); formation energy = -0.227 eV/atom; VASP energy = -18.03 eV per cell; Fermi-level density of states = 4.694 states/eV/f.u.; energy above the most stable polymorph in this dataset = 0.97 eV per formula unit
1.0
3.754 0.000 0.000
0.000 4.753 0.000
0.000 -2.376 11.990
In Cd Ac
2 3 2
direct
0.500 0.715 0.431 In
0.500 0.285 0.569 In
0.500 0.563 0.126 Cd
0.000 0.000 0.000 Cd
0.500 0.437 0.874 Cd
0.000 0.149 0.298 Ac
0.000 0.851 0.702 Ac

***

No. 12
Ac3Cd4In2 (PBE, optimized geometry); formation energy = -0.396 eV/atom; VASP energy = -25.02 eV per cell; Fermi-level density of states = 5.435 states/eV/f.u.
1.0
5.155 0.000 0.000
-2.577 5.933 -0.546
0.000 -3.235 9.240
Ac Cd In
3 4 2
direct
0.665 0.329 0.671 Ac
0.000 0.000 0.000 Ac
0.335 0.671 0.329 Ac
0.927 0.853 0.592 Cd
0.073 0.147 0.408 Cd
0.290 0.581 0.959 Cd
0.710 0.419 0.041 Cd
0.614 0.228 0.280 In
0.386 0.772 0.720 In